No. 1
## Rb2MgAuI6 (PBE-GGA)

Data for an optimized crystal structure of Rb2MgAuI6.

The structure in CIF format:
```
data_Rb2MgAuI6
_cell_length_a 8.461
_cell_length_b 8.461
_cell_length_c 11.661
_cell_angle_alpha 90.00
_cell_angle_beta 90.00
_cell_angle_gamma 90.00
_symmetry_space_group_name_H-M 'I 4/m m m'
_symmetry_Int_Tables_number 139
_symmetry_space_group_name_Hall '-I 4 2'
loop_
_atom_site_label
_atom_site_fract_x
_atom_site_fract_y
_atom_site_fract_z
_atom_site_occupancy
Rb1 0.000 0.500 0.250 1
Mg1 0.000 0.000 0.000 1
Au1 0.000 0.000 0.500 1
I1 0.000 0.000 0.269 1
I2 0.239 0.239 0.000 1
```

Formation energy from raw total energies: -0.8228 eV per atom
Excess energy over the best structure of this formula in the dataset: 2.6 kJ per mole of atoms
Calculated volume: 41.741 Å³/atom
Energy: -48.7 eV for the cell shown

=====

No. 2
## V3AsI (PBE-GGA)

Data for an optimized crystal structure of V3AsI.

The structure in CIF format:
```
data_V3AsI
_cell_length_a 4.933
_cell_length_b 4.933
_cell_length_c 4.933
_cell_angle_alpha 90.00
_cell_angle_beta 90.00
_cell_angle_gamma 90.00
_symmetry_space_group_name_H-M 'P m -3 m'
_symmetry_Int_Tables_number 221
_symmetry_space_group_name_Hall '-P 4 2 3'
loop_
_atom_site_label
_atom_site_fract_x
_atom_site_fract_y
_atom_site_fract_z
_atom_site_occupancy
V1 0.000 0.000 0.500 1
As1 0.000 0.000 0.000 1
I1 0.500 0.500 0.500 1
```

Formation energy from raw total energies: 0.7533 eV per atom
Excess energy over the best structure of this formula in the dataset: 0.0 kJ per mole of atoms
Calculated volume: 24.005 Å³/atom
Energy: -29.8 eV for the cell shown

=====

No. 3
## CdGePt (PBE-GGA)

Data for an optimized crystal structure of CdGePt.

The structure in CIF format:
```
data_CdGePt
_cell_length_a 7.826
_cell_length_b 4.160
_cell_length_c 7.353
_cell_angle_alpha 90.00
_cell_angle_beta 104.97
_cell_angle_gamma 90.00
_symmetry_space_group_name_H-M 'C 1 2/m 1'
_symmetry_Int_Tables_number 12
loop_
_symmetry_equiv_pos_as_xyz
'x,y,z'
'-x,-y,-z'
'-x,y,-z'
'x,-y,z'
'x+1/2,y+1/2,z'
'-x+1/2,-y+1/2,-z'
'-x+1/2,y+1/2,-z'
'x+1/2,-y+1/2,z'
loop_
_atom_site_label
_atom_site_fract_x
_atom_site_fract_y
_atom_site_fract_z
_atom_site_occupancy
Cd1 0.184 0.000 0.104 1
Ge1 0.099 0.500 0.368 1
Pt1 0.095 0.000 0.695 1
```

Calculated volume: 19.271 Å³/atom
Energy: -49.6 eV for the cell shown
Energy of formation: -0.2760 eV per atom

=====

No. 4
## Co2PBr (PBE-GGA)

Data for an optimized crystal structure of Co2PBr.

The structure in CIF format:
```
data_Co2PBr
_cell_length_a 5.978
_cell_length_b 5.978
_cell_length_c 5.978
_cell_angle_alpha 90.00
_cell_angle_beta 90.00
_cell_angle_gamma 90.00
_symmetry_space_group_name_H-M 'F m -3 m'
_symmetry_Int_Tables_number 225
_symmetry_space_group_name_Hall '-F 4 2 3'
loop_
_atom_site_label
_atom_site_fract_x
_atom_site_fract_y
_atom_site_fract_z
_atom_site_occupancy
Co1 0.250 0.250 0.250 1
P1 0.000 0.000 0.000 1
Br1 0.000 0.000 0.500 1
```

Formation energy from raw total energies: 0.5650 eV per atom
Excess energy over the best structure of this formula in the dataset: 74.2 kJ per mole of atoms
Calculated volume: 13.354 Å³/atom
Energy: -76.1 eV for the cell shown

=====

No. 5
## Hf2AgPd9 (PBE-GGA)

Data for an optimized crystal structure of Hf2AgPd9.

The structure in CIF format:
```
data_Hf2AgPd9
_cell_length_a 4.012
_cell_length_b 4.012
_cell_length_c 12.028
_cell_angle_alpha 90.00
_cell_angle_beta 90.00
_cell_angle_gamma 90.00
_symmetry_space_group_name_H-M 'P 4/m m m'
_symmetry_Int_Tables_number 123
_symmetry_space_group_name_Hall '-P 4 2'
loop_
_atom_site_label
_atom_site_fract_x
_atom_site_fract_y
_atom_site_fract_z
_atom_site_occupancy
Hf1 0.000 0.000 0.171 1
Ag1 0.000 0.000 0.500 1
Pd1 0.000 0.500 0.000 1
Pd2 0.000 0.500 0.329 1
Pd3 0.500 0.500 0.164 1
Pd4 0.500 0.500 0.500 1
```

Calculated volume: 16.133 Å³/atom
Energy: -76.8 eV for the cell shown
Energy of formation: -0.6107 eV per atom

=====

No. 6
## Cr2Ni6Pt (PBE-GGA)

Data for an optimized crystal structure of Cr2Ni6Pt.

The structure in CIF format:
```
data_Cr2Ni6Pt
_cell_length_a 8.091
_cell_length_b 3.567
_cell_length_c 7.641
_cell_angle_alpha 90.00
_cell_angle_beta 108.88
_cell_angle_gamma 90.00
_symmetry_space_group_name_H-M 'C 1 2/m 1'
_symmetry_Int_Tables_number 12
loop_
_symmetry_equiv_pos_as_xyz
'x,y,z'
'-x,-y,-z'
'-x,y,-z'
'x,-y,z'
'x+1/2,y+1/2,z'
'-x+1/2,-y+1/2,-z'
'-x+1/2,y+1/2,-z'
'x+1/2,-y+1/2,z'
loop_
_atom_site_label
_atom_site_fract_x
_atom_site_fract_y
_atom_site_fract_z
_atom_site_occupancy
Cr1 0.176 0.000 0.235 1
Ni1 0.002 0.500 0.337 1
Ni2 0.166 0.000 0.881 1
Ni3 0.167 0.000 0.552 1
Pt1 0.000 0.500 0.000 1
```

Excess energy over the best structure of this formula in the dataset: 0.0 kJ per mole of atoms
Calculated volume: 11.591 Å³/atom
Energy: -120.8 eV for the cell shown
Energy of formation: -0.0445 eV per atom

=====

No. 7
## YHo3Tl (PBE-GGA)

Data for an optimized crystal structure of YHo3Tl.

The structure in CIF format:
```
data_YHo3Tl
_cell_length_a 5.457
_cell_length_b 28.874
_cell_length_c 3.782
_cell_angle_alpha 90.00
_cell_angle_beta 90.00
_cell_angle_gamma 90.00
_symmetry_space_group_name_H-M 'C m c m'
_symmetry_Int_Tables_number 63
_symmetry_space_group_name_Hall '-C 2c 2'
loop_
_atom_site_label
_atom_site_fract_x
_atom_site_fract_y
_atom_site_fract_z
_atom_site_occupancy
Y1 0.000 0.154 0.250 1
Ho1 0.000 0.048 0.750 1
Ho2 0.000 0.263 0.750 1
Ho3 0.000 0.449 0.750 1
Tl1 0.000 0.357 0.250 1
```

Excess energy over the best structure of this formula in the dataset: 0.0 kJ per mole of atoms
Calculated volume: 29.800 Å³/atom
Energy: -92.4 eV for the cell shown
Energy of formation: -0.1067 eV per atom

=====

No. 8
## BaLa2Cd (PBE-GGA)

Data for an optimized crystal structure of BaLa2Cd.

The structure in CIF format:
```
data_BaLa2Cd
_cell_length_a 5.765
_cell_length_b 5.765
_cell_length_c 4.343
_cell_angle_alpha 90.00
_cell_angle_beta 90.00
_cell_angle_gamma 90.00
_symmetry_space_group_name_H-M 'P 4/m m m'
_symmetry_Int_Tables_number 123
_symmetry_space_group_name_Hall '-P 4 2'
loop_
_atom_site_label
_atom_site_fract_x
_atom_site_fract_y
_atom_site_fract_z
_atom_site_occupancy
Ba1 0.000 0.000 0.000 1
La1 0.000 0.500 0.500 1
Cd1 0.500 0.500 0.000 1
```

Excess energy over the best structure of this formula in the dataset: 16.7 kJ per mole of atoms
Calculated volume: 36.084 Å³/atom
Energy: -12.4 eV for the cell shown
Energy of formation: 0.0673 eV per atom

=====

No. 9
## NaIn6Hg3 (PBE-GGA)

Data for an optimized crystal structure of NaIn6Hg3.

The structure in CIF format:
```
data_NaIn6Hg3
_cell_length_a 7.181
_cell_length_b 8.758
_cell_length_c 11.250
_cell_angle_alpha 90.00
_cell_angle_beta 128.51
_cell_angle_gamma 90.00
_symmetry_space_group_name_H-M 'P 1 21/c 1'
_symmetry_Int_Tables_number 14
loop_
_symmetry_equiv_pos_as_xyz
'x,y,z'
'-x,-y,-z'
'-x,y+1/2,-z+1/2'
'x,-y+1/2,z+1/2'
loop_
_atom_site_label
_atom_site_fract_x
_atom_site_fract_y
_atom_site_fract_z
_atom_site_occupancy
Na1 0.000 0.000 0.000 1
In1 0.127 0.133 0.647 1
In2 0.357 0.647 0.869 1
In3 0.428 0.650 0.174 1
Hg1 0.100 0.170 0.358 1
Hg2 0.500 0.000 0.000 1
```

Calculated volume: 27.680 Å³/atom
Energy: -37.9 eV for the cell shown
Energy of formation: -0.0274 eV per atom

=====

No. 10
## AcPm3Ho12 (PBE-GGA)

Data for an optimized crystal structure of AcPm3Ho12.

The structure in CIF format:
```
data_AcPm3Ho12
_cell_length_a 5.054
_cell_length_b 5.054
_cell_length_c 20.257
_cell_angle_alpha 90.00
_cell_angle_beta 90.00
_cell_angle_gamma 90.00
_symmetry_space_group_name_H-M 'P 4/m m m'
_symmetry_Int_Tables_number 123
_symmetry_space_group_name_Hall '-P 4 2'
loop_
_atom_site_label
_atom_site_fract_x
_atom_site_fract_y
_atom_site_fract_z
_atom_site_occupancy
Ac1 0.000 0.000 0.000 1
Pm1 0.000 0.000 0.252 1
Pm2 0.000 0.000 0.500 1
Ho1 0.000 0.500 0.130 1
Ho2 0.000 0.500 0.376 1
Ho3 0.500 0.500 0.000 1
Ho4 0.500 0.500 0.253 1
Ho5 0.500 0.500 0.500 1
```

Calculated volume: 32.339 Å³/atom
Energy: -72.8 eV for the cell shown
Energy of formation: 0.0326 eV per atom

=====

No. 11
## LiHoScCu (PBE-GGA)

Data for an optimized crystal structure of LiHoScCu.

The structure in CIF format:
```
data_LiHoScCu
_cell_length_a 6.870
_cell_length_b 6.870
_cell_length_c 6.870
_cell_angle_alpha 90.00
_cell_angle_beta 90.00
_cell_angle_gamma 90.00
_symmetry_space_group_name_H-M 'F -4 3 m'
_symmetry_Int_Tables_number 216
_symmetry_space_group_name_Hall 'F -4 2 3'
loop_
_atom_site_label
_atom_site_fract_x
_atom_site_fract_y
_atom_site_fract_z
_atom_site_occupancy
Li1 0.000 0.000 0.000 1
Ho1 0.250 0.250 0.750 1
Sc1 0.250 0.250 0.250 1
Cu1 0.000 0.000 0.500 1
```

Calculated volume: 20.263 Å³/atom
Energy: -68.2 eV for the cell shown
Energy of formation: -0.0354 eV per atom

=====

No. 12
## LaBeTcPt2 (PBE-GGA)

Data for an optimized crystal structure of LaBeTcPt2.

The structure in CIF format:
```
data_LaBeTcPt2
_cell_length_a 5.210
_cell_length_b 5.210
_cell_length_c 4.898
_cell_angle_alpha 90.00
_cell_angle_beta 90.00
_cell_angle_gamma 90.00
_symmetry_space_group_name_H-M 'P 4/m m m'
_symmetry_Int_Tables_number 123
_symmetry_space_group_name_Hall '-P 4 2'
loop_
_atom_site_label
_atom_site_fract_x
_atom_site_fract_y
_atom_site_fract_z
_atom_site_occupancy
La1 0.000 0.000 0.000 1
Be1 0.500 0.500 0.500 1
Tc1 0.000 0.000 0.500 1
Pt1 0.000 0.500 0.000 1
```

Calculated volume: 26.589 Å³/atom
Energy: -22.2 eV for the cell shown
Energy of formation: 1.7896 eV per atom

=====

No. 13
## Mg2CoS (PBE-GGA)

Data for an optimized crystal structure of Mg2CoS.

The structure in CIF format:
```
data_Mg2CoS
_cell_length_a 7.068
_cell_length_b 7.068
_cell_length_c 5.719
_cell_angle_alpha 90.00
_cell_angle_beta 90.00
_cell_angle_gamma 90.00
_symmetry_space_group_name_H-M 'I -4 2 d'
_symmetry_Int_Tables_number 122
_symmetry_space_group_name_Hall 'I -4 2bw'
loop_
_atom_site_label
_atom_site_fract_x
_atom_site_fract_y
_atom_site_fract_z
_atom_site_occupancy
Mg1 0.225 0.250 0.125 1
Co1 0.000 0.000 0.500 1
S1 0.000 0.000 0.000 1
```

Formation energy from raw total energies: 0.0565 eV per atom
Calculated volume: 17.860 Å³/atom
Energy: -56.8 eV for the cell shown

=====

No. 14
## Sm2EuTh (PBE-GGA)

Data for an optimized crystal structure of Sm2EuTh.

The structure in CIF format:
```
data_Sm2EuTh
_cell_length_a 8.216
_cell_length_b 8.216
_cell_length_c 8.216
_cell_angle_alpha 90.00
_cell_angle_beta 90.00
_cell_angle_gamma 90.00
_symmetry_space_group_name_H-M 'F m -3 m'
_symmetry_Int_Tables_number 225
_symmetry_space_group_name_Hall '-F 4 2 3'
loop_
_atom_site_label
_atom_site_fract_x
_atom_site_fract_y
_atom_site_fract_z
_atom_site_occupancy
Sm1 0.250 0.250 0.250 1
Eu1 0.000 0.000 0.000 1
Th1 0.000 0.000 0.500 1
```

Excess energy over the best structure of this formula in the dataset: 9.8 kJ per mole of atoms
Calculated volume: 34.658 Å³/atom
Energy: -105.0 eV for the cell shown
Energy of formation: 0.2229 eV per atom

=====

No. 15
## MnFe (PBE-GGA)

Data for an optimized crystal structure of MnFe.

The structure in CIF format:
```
data_MnFe
_cell_length_a 3.6403
_cell_length_b 3.6403
_cell_length_c 4.4374
_cell_angle_alpha 90.00
_cell_angle_beta 90.00
_cell_angle_gamma 120.00
_symmetry_space_group_name_H-M 'P 63/m m c'
_symmetry_Int_Tables_number 194
_symmetry_space_group_name_Hall '-P 6c 2c'
loop_
_atom_site_label
_atom_site_fract_x
_atom_site_fract_y
_atom_site_fract_z
_atom_site_occupancy
Mn1 0.0000 0.0000 0.0000 1
Fe1 0.3333 0.6667 0.2500 1
```

Calculated volume: 12.731 Å³/atom
Energy: -32.2 eV for the cell shown
Energy of formation: 0.7744 eV per atom

=====

No. 16
## CuGeSbI2 (PBE-GGA)

Data for an optimized crystal structure of CuGeSbI2.

The structure in CIF format:
```
data_CuGeSbI2
_cell_length_a 5.333
_cell_length_b 5.333
_cell_length_c 5.167
_cell_angle_alpha 90.00
_cell_angle_beta 90.00
_cell_angle_gamma 90.00
_symmetry_space_group_name_H-M 'P 4/m m m'
_symmetry_Int_Tables_number 123
_symmetry_space_group_name_Hall '-P 4 2'
loop_
_atom_site_label
_atom_site_fract_x
_atom_site_fract_y
_atom_site_fract_z
_atom_site_occupancy
Cu1 0.000 0.000 0.000 1
Ge1 0.500 0.500 0.500 1
Sb1 0.000 0.000 0.500 1
I1 0.000 0.500 0.000 1
```

Formation energy from raw total energies: 0.5113 eV per atom
Excess energy over the best structure of this formula in the dataset: 0.0 kJ per mole of atoms
Calculated volume: 29.389 Å³/atom
Energy: -13.4 eV for the cell shown

=====

No. 17
## MoPt6Rh2 (PBE-GGA)

Data for an optimized crystal structure of MoPt6Rh2.

The structure in CIF format:
```
data_MoPt6Rh2
_cell_length_a 2.767
_cell_length_b 7.210
_cell_length_c 14.839
_cell_angle_alpha 90.00
_cell_angle_beta 90.00
_cell_angle_gamma 90.00
_symmetry_space_group_name_H-M 'I m m m'
_symmetry_Int_Tables_number 71
_symmetry_space_group_name_Hall '-I 2 2'
loop_
_atom_site_label
_atom_site_fract_x
_atom_site_fract_y
_atom_site_fract_z
_atom_site_occupancy
Mo1 0.000 0.000 0.000 1
Pt1 0.000 0.312 0.372 1
Pt2 0.000 0.500 0.087 1
Rh1 0.000 0.000 0.259 1
```

Excess energy over the best structure of this formula in the dataset: 23.6 kJ per mole of atoms
Calculated volume: 16.445 Å³/atom
Energy: -122.2 eV for the cell shown
Energy of formation: 0.0743 eV per atom

=====

No. 18
## FeCoIr2 (PBE-GGA)

Data for an optimized crystal structure of FeCoIr2.

The structure in CIF format:
```
data_FeCoIr2
_cell_length_a 2.674
_cell_length_b 3.588
_cell_length_c 5.363
_cell_angle_alpha 90.00
_cell_angle_beta 90.00
_cell_angle_gamma 90.00
_symmetry_space_group_name_H-M 'P m m m'
_symmetry_Int_Tables_number 47
loop_
_symmetry_equiv_pos_as_xyz
'x,y,z'
'-x,-y,-z'
'-x,-y,z'
'x,y,-z'
'x,-y,-z'
'-x,y,z'
'-x,y,-z'
'x,-y,z'
loop_
_atom_site_label
_atom_site_fract_x
_atom_site_fract_y
_atom_site_fract_z
_atom_site_occupancy
Fe1 0.000 0.000 0.000 1
Co1 0.000 0.000 0.500 1
Ir1 0.500 0.500 0.253 1
```

Calculated volume: 12.861 Å³/atom
Energy: -33.3 eV for the cell shown
Energy of formation: 0.0032 eV per atom

=====

No. 19
## Nd2Al2InRh5 (PBE-GGA)

Data for an optimized crystal structure of Nd2Al2InRh5.

The structure in CIF format:
```
data_Nd2Al2InRh5
_cell_length_a 10.085
_cell_length_b 10.085
_cell_length_c 3.553
_cell_angle_alpha 90.00
_cell_angle_beta 90.00
_cell_angle_gamma 90.00
_symmetry_space_group_name_H-M 'P 4/m b m'
_symmetry_Int_Tables_number 127
_symmetry_space_group_name_Hall '-P 4 2ab'
loop_
_atom_site_label
_atom_site_fract_x
_atom_site_fract_y
_atom_site_fract_z
_atom_site_occupancy
Nd1 0.177 0.323 0.000 1
Al1 0.120 0.620 0.000 1
In1 0.000 0.000 0.000 1
Rh1 0.000 0.500 0.500 1
Rh2 0.067 0.787 0.500 1
```

Calculated volume: 18.068 Å³/atom
Energy: -128.2 eV for the cell shown
Energy of formation: -0.7606 eV per atom

=====

No. 20
## NbH2F (PBE-GGA)

Data for an optimized crystal structure of NbH2F.

The structure in CIF format:
```
data_NbH2F
_cell_length_a 5.901
_cell_length_b 5.901
_cell_length_c 4.252
_cell_angle_alpha 90.00
_cell_angle_beta 90.00
_cell_angle_gamma 90.00
_symmetry_space_group_name_H-M 'I -4 2 d'
_symmetry_Int_Tables_number 122
_symmetry_space_group_name_Hall 'I -4 2bw'
loop_
_atom_site_label
_atom_site_fract_x
_atom_site_fract_y
_atom_site_fract_z
_atom_site_occupancy
Nb1 0.000 0.000 0.000 1
H1 0.182 0.250 0.125 1
F1 0.000 0.000 0.500 1
```

Excess energy over the best structure of this formula in the dataset: 0.0 kJ per mole of atoms
Calculated volume: 9.253 Å³/atom
Energy: -85.3 eV for the cell shown